The following is a DFT calculation (GGA-PBEsol) of a geometry-optimized FeH2Pt2 structure.

D(E_F) ... 5.32 states/eV/cell
VASP energy ... -5.77 eV per atom

Cell and atoms, written as CIF:
```
data_FeH2Pt2
_cell_length_a 5.9871
_cell_length_b 5.9871
_cell_length_c 2.7870
_cell_angle_alpha 90.00
_cell_angle_beta 90.00
_cell_angle_gamma 90.00
_symmetry_space_group_name_H-M 'P 4/m b m'
_symmetry_Int_Tables_number 127
_symmetry_space_group_name_Hall '-P 4 2ab'
loop_
_atom_site_label
_atom_site_type_symbol
_atom_site_fract_x
_atom_site_fract_y
_atom_site_fract_z
_atom_site_occupancy
Fe1 Fe 0.0000 0.0000 0.0000 1
H1 H 0.2072 0.2928 0.0000 1
Pt1 Pt 0.1640 0.6640 0.5000 1
```